First-principles (PBE-GGA) data for a relaxed structure of Hf2UIn, as listed in the Alexandria database.

Unit cell a=3.5979 b=3.5979 c=6.8363 alpha=90.00 beta=90.00 gamma=90.00
Last column: nearest neighbours and their distance in Å.
Space group P4/mmm (No. 123)
One atom of each set of equivalent atoms:
1 Hf 0.0000 0.0000 0.2386  4 U 3.02, 4 In 3.11, 1 Hf 3.26
2 U 0.5000 0.5000 0.0000  8 Hf 3.02
3 In 0.5000 0.5000 0.5000  8 Hf 3.11, 2 U 3.42

Results
As for the raw total energy: -8.295 eV/atom. Its formation energy is 18 kJ/mol of atoms.